Be2AgHg | PBE-GGA | relaxed

The structure in POSCAR format:
```
Be2AgHg
1.0
5.1245 0.0090 0.0220
2.4465 4.5028 -0.0220
-3.3258 -3.0273 2.4568
Be Ag Hg
2 1 1
Direct
0.7727 0.2727 0.5000 Be
0.9812 0.9812 0.0000 Be
0.2319 0.7319 0.5000 Ag
0.5141 0.5141 0.0000 Hg
```

DOS(E_F) in states/eV per cell: 0.90
ΔH_f (0 K) in eV/atom: 0.3776
Space-group type: Imm2

AcPmCoI | PBE-GGA | relaxed

The structure in POSCAR format:
```
AcPmCoI
1.0
-2.1057 0.8234 -3.4718
-0.3324 -3.7197 1.7910
-4.9481 3.4703 6.2886
Ac Pm I Co
1 1 1 1
Direct
0.5181 0.1568 0.6911 Ac
0.0935 0.9448 0.0527 Pm
0.9551 0.3757 0.3459 I
0.3113 0.5535 0.8800 Co
```

DOS(E_F) in states/eV per cell: 0.82
E_tot in eV per atom: -4.96
Space-group type: R3m

SrLiPuF6 | PBE-GGA | relaxed

The structure in POSCAR format:
```
SrLiPuF6
1.0
5.3203 0.0000 0.0000
0.0000 5.7002 0.0000
0.0000 -2.8501 4.9366
F Sr Li Pu
6 1 1 1
Direct
0.2779 0.6897 0.0014 F
0.7221 0.9986 0.3103 F
0.2779 0.3117 0.3103 F
0.7221 0.6897 0.6883 F
0.7221 0.3117 0.0014 F
0.2779 0.9986 0.6883 F
0.0000 0.3333 0.6667 Sr
0.5000 0.0000 0.0000 Li
0.5000 0.6667 0.3333 Pu
```

DOS(E_F) in states/eV per cell: 6.47
E_tot in eV per atom: -6.74
Space-group type: P312

Y2Si4Ir3Os | PBE-GGA | relaxed

The structure in POSCAR format:
```
Y2Si4Ir3Os
1.0
-2.6649 -2.3527 2.1932
3.1270 -2.5620 1.0512
1.7462 5.3617 7.8734
Ir Y Si Os
3 2 4 1
Direct
0.0000 0.0000 0.5000 Ir
0.5000 0.0000 0.8731 Ir
0.0000 0.5000 0.1269 Ir
0.5000 0.0000 0.2480 Y
0.0000 0.5000 0.7520 Y
0.5000 0.0000 0.6265 Si
0.5000 0.5000 0.0000 Si
0.0000 0.5000 0.3735 Si
0.0000 0.0000 0.0000 Si
0.5000 0.5000 0.5000 Os
```

DOS(E_F) in states/eV per cell: 4.75
E_tot in eV per atom: -8.22
Space-group type: P-4m2

SrAl2Tl | PBE-GGA | relaxed

The structure in POSCAR format:
```
SrAl2Tl
1.0
-4.0009 -3.5928 1.2931
1.2233 -4.3390 -3.2038
3.3754 2.6622 3.4796
Al Tl Sr
2 1 1
Direct
0.2500 0.7500 0.5000 Al
0.0000 0.0000 0.0000 Al
0.7500 0.2500 0.5000 Tl
0.5000 0.5000 0.0000 Sr
```

DOS(E_F) in states/eV per cell: 2.30
ΔH_f (0 K) in eV/atom: 0.0352
Space-group type: I-4m2
Energy above the lowest structure with this stoichiometry in kJ/mol of formula units: 76

RbIn2Pb3 | PBE-GGA | relaxed

The structure in POSCAR format:
```
RbIn2Pb3
1.0
-1.6778 -3.0151 4.0964
5.1631 -8.2540 -0.4592
7.8431 -1.5459 5.5759
Pb In Rb
6 4 2
Direct
0.6744 0.1254 0.5258 Pb
0.3256 0.8746 0.4742 Pb
0.3256 0.4742 0.8747 Pb
0.6744 0.5258 0.1253 Pb
0.0000 0.6674 0.3326 Pb
0.0000 0.3326 0.6674 Pb
0.5000 0.1583 0.8417 In
0.8149 0.6852 0.6851 In
0.5000 0.8417 0.1583 In
0.1851 0.3148 0.3149 In
0.1348 0.8652 0.8651 Rb
0.8652 0.1348 0.1349 Rb
```

DOS(E_F) in states/eV per cell: 7.00
ΔH_f (0 K) in eV/atom: -0.0211
Space-group type: Immm
Energy above the lowest structure with this stoichiometry in kJ/mol of formula units: 9

CsNaMn2Tc | PBE-GGA | relaxed

The structure in POSCAR format:
```
CsNaMn2Tc
1.0
4.8957 0.0000 0.0000
0.0000 5.9502 0.0000
0.0000 0.0000 4.8957
Na Mn Cs Tc
1 2 1 1
Direct
0.5000 0.5000 0.5000 Na
0.0000 0.0000 0.5000 Mn
0.5000 0.0000 0.0000 Mn
0.0000 0.5000 0.0000 Cs
0.0000 0.0000 0.0000 Tc
```

DOS(E_F) in states/eV per cell: 5.01
ΔH_f (0 K) in eV/atom: 1.1802
Space-group type: P4/mmm

ScTl3Zn | PBE-GGA | relaxed

The structure in POSCAR format:
```
ScTl3Zn
1.0
-1.1749 -4.7826 -2.9059
0.9684 -3.0982 4.7076
-5.5118 0.4751 1.4466
Tl Sc Zn
3 1 1
Direct
0.0000 0.0000 0.5000 Tl
0.5000 0.0000 0.0000 Tl
0.0000 0.5000 0.0000 Tl
0.0000 0.0000 0.0000 Sc
0.5000 0.5000 0.5000 Zn
```

DOS(E_F) in states/eV per cell: 4.47
ΔH_f (0 K) in eV/atom: 0.5124
Space-group type: Pm-3m
Energy above the lowest structure with this stoichiometry in kJ/mol of formula units: 60

Cd2Ag2Pd | PBE-GGA | relaxed

The structure in POSCAR format:
```
Cd2Ag2Pd
1.0
3.9000 0.0000 0.0000
0.0000 3.9000 0.0000
1.9500 1.9500 6.8244
Ag Pd Cd
2 1 2
Direct
0.4041 0.4041 0.1918 Ag
0.5959 0.5959 0.8082 Ag
0.0000 0.0000 0.0000 Pd
0.7500 0.2500 0.5000 Cd
0.2500 0.7500 0.5000 Cd
```

DOS(E_F) in states/eV per cell: 1.69
ΔH_f (0 K) in eV/atom: 0.2399
Space-group type: I4/mmm
Energy above the lowest structure with this stoichiometry in kJ/mol of formula units: 190

BaCa2Ce2O7 | PBE-GGA | relaxed

The structure in POSCAR format:
```
BaCa2Ce2O7
1.0
-1.2384 4.3262 -0.8050
-4.2662 -0.9616 1.3955
5.1798 0.6987 8.7666
O Ce Ca Ba
7 2 2 1
Direct
0.3816 0.8806 0.7631 O
0.1143 0.6079 0.2287 O
0.7295 0.7303 0.4590 O
0.2705 0.2713 0.5410 O
0.8857 0.3792 0.7713 O
0.6184 0.1175 0.2369 O
0.5000 0.4455 0.0000 O
0.3876 0.3936 0.7752 Ce
0.6124 0.6185 0.2248 Ce
0.2516 0.7526 0.5031 Ca
0.7484 0.2495 0.4969 Ca
0.0000 0.0530 0.0000 Ba
```

DOS(E_F) in states/eV per cell: 0.00
E_tot in eV per atom: -7.46
Space-group type: Imm2

BaNaBr2N | PBE-GGA | relaxed

The structure in POSCAR format:
```
BaNaBr2N
1.0
5.4699 0.0000 0.0000
0.0000 4.3651 0.0000
0.0000 0.0000 5.4699
Br N Na Ba
2 1 1 1
Direct
0.0000 0.0000 0.5000 Br
0.5000 0.0000 0.0000 Br
0.0000 0.0000 0.0000 N
0.0000 0.5000 0.0000 Na
0.5000 0.5000 0.5000 Ba
```

DOS(E_F) in states/eV per cell: 1.38
E_tot in eV per atom: -3.25
Space-group type: P4/mmm

Pr2GeS | PBE-GGA | relaxed

The structure in POSCAR format:
```
Pr2GeS
1.0
-1.1017 4.0108 0.7822
-3.5456 1.5867 -1.6802
-5.1208 -0.2040 5.2832
Pr Ge S
2 1 1
Direct
0.7508 0.7508 0.7477 Pr
0.2492 0.2492 0.2523 Pr
0.0000 0.0000 0.0000 Ge
0.5000 0.5000 0.5000 S
```

DOS(E_F) in states/eV per cell: 1.51
Space-group type: R-3m
Energy above the lowest structure with this stoichiometry in kJ/mol of formula units: 14

Nd2Zn2Si | PBE-GGA | relaxed

The structure in POSCAR format:
```
Nd2Zn2Si
1.0
-5.9419 0.4212 0.5932
-4.9676 -2.5488 -2.1593
-4.4511 -7.6937 6.7262
Zn Nd Si
4 4 2
Direct
0.3744 0.3744 0.1198 Zn
0.0362 0.0362 0.5881 Zn
0.6256 0.6256 0.8802 Zn
0.9638 0.9638 0.4119 Zn
0.8991 0.8991 0.8954 Nd
0.1009 0.1009 0.1046 Nd
0.2951 0.2951 0.6401 Nd
0.7049 0.7049 0.3599 Nd
0.4287 0.4287 0.3177 Si
0.5713 0.5713 0.6823 Si
```

DOS(E_F) in states/eV per cell: 8.56
E_tot in eV per atom: -3.97
Space-group type: C2/m

La2TlN | PBE-GGA | relaxed

The structure in POSCAR format:
```
La2TlN
1.0
3.7376 0.0000 0.0000
-1.8688 3.2369 0.0000
0.0000 0.0000 17.1667
Tl La N
2 4 2
Direct
0.6667 0.3333 0.2500 Tl
0.3333 0.6667 0.7500 Tl
0.3333 0.6667 0.0825 La
0.3333 0.6667 0.4175 La
0.6667 0.3333 0.9175 La
0.6667 0.3333 0.5825 La
0.0000 0.0000 0.0000 N
0.0000 0.0000 0.5000 N
```

DOS(E_F) in states/eV per cell: 7.51
E_tot in eV per atom: -5.96
Space-group type: P6_3/mmc

Pm4Ho8Tm | PBE-GGA | relaxed

The structure in POSCAR format:
```
Pm4Ho8Tm
1.0
-3.1026 3.7643 6.0378
-7.1022 -1.9717 -2.4335
0.3670 -6.4995 4.2276
Ho Pm Tm
8 4 1
Direct
0.2412 0.7599 0.7599 Ho
0.7595 0.7595 0.7595 Ho
0.2405 0.2405 0.2405 Ho
0.7588 0.2401 0.2401 Ho
0.2401 0.2401 0.7588 Ho
0.2401 0.7588 0.2401 Ho
0.7599 0.2412 0.7599 Ho
0.7599 0.7599 0.2412 Ho
0.0000 0.0000 0.0000 Pm
0.5000 0.5000 0.0000 Pm
0.5000 0.0000 0.5000 Pm
0.0000 0.5000 0.5000 Pm
0.5000 0.5000 0.5000 Tm
```

DOS(E_F) in states/eV per cell: 21.59
ΔH_f (0 K) in eV/atom: 0.5165
Space-group type: R-3m

Tb2Mo3N5 | PBE-GGA | relaxed

The structure in POSCAR format:
```
Tb2Mo3N5
1.0
3.0569 0.0000 0.6783
1.2464 5.5855 1.6104
0.0988 -0.6690 6.7820
N Tb Mo
5 2 3
Direct
0.9129 0.7653 0.4089 N
0.0000 0.0000 0.0000 N
0.0871 0.2347 0.5911 N
0.2971 0.6131 0.7926 N
0.7029 0.3869 0.2074 N
0.6649 0.9329 0.7373 Tb
0.3351 0.0671 0.2627 Tb
0.1231 0.6404 0.1134 Mo
0.5000 0.5000 0.5000 Mo
0.8769 0.3596 0.8866 Mo
```

DOS(E_F) in states/eV per cell: 4.19
E_tot in eV per atom: -9.23
Space-group type: C2/m

LiTmSO | PBE-GGA | relaxed

The structure in POSCAR format:
```
LiTmSO
1.0
3.6347 0.0000 0.0000
1.8173 3.1477 0.0000
1.8173 1.0492 11.7818
O S Tm Li
2 2 2 2
Direct
0.1955 0.1955 0.4135 O
0.8045 0.8045 0.5865 O
0.3791 0.3791 0.8628 S
0.6209 0.6209 0.1372 S
0.5000 0.5000 0.5000 Tm
0.0000 0.0000 0.0000 Tm
0.7536 0.7536 0.7391 Li
0.2464 0.2464 0.2609 Li
```

E_tot in eV per atom: -6.20
Space-group type: R-3m

LiNdTh2Se5 | PBE-GGA | relaxed

The structure in POSCAR format:
```
LiNdTh2Se5
1.0
-3.6126 -1.0061 1.6091
-0.9899 -1.9944 -8.6440
4.2547 -11.7284 2.2188
Se Th Nd Li
10 4 2 2
Direct
0.9611 0.9221 0.5800 Se
0.7065 0.4130 0.1633 Se
0.3061 0.6122 0.3296 Se
0.0389 0.0779 0.0800 Se
0.4970 0.9940 0.2916 Se
0.5030 0.0060 0.7916 Se
0.3605 0.7210 0.9983 Se
0.6395 0.2790 0.4983 Se
0.6939 0.3878 0.8296 Se
0.2935 0.5870 0.6633 Se
0.8739 0.7478 0.7983 Th
0.8860 0.7721 0.1804 Th
0.1261 0.2522 0.2983 Th
0.1140 0.2279 0.6804 Th
0.1911 0.3822 0.9963 Nd
0.8089 0.6178 0.4963 Nd
0.5067 0.0133 0.9861 Li
0.4933 0.9867 0.4861 Li
```

DOS(E_F) in states/eV per cell: 10.07
E_tot in eV per atom: -5.92
Space-group type: Cmc2_1

Ca2NiHg | PBE-GGA | relaxed

The structure in POSCAR format:
```
Ca2NiHg
1.0
-0.5122 1.2905 7.8598
-0.4587 -7.8677 1.2619
2.7792 -3.4408 4.7986
Ca Ni Hg
4 2 2
Direct
0.1706 0.6250 0.2500 Ca
0.8750 0.8294 0.7500 Ca
0.3750 0.4206 0.7500 Ca
0.5794 0.1250 0.2500 Ca
0.5000 0.5000 0.0000 Ni
0.2500 0.7500 0.5000 Ni
0.7500 0.2500 0.5000 Hg
0.0000 0.0000 0.0000 Hg
```

DOS(E_F) in states/eV per cell: 5.28
ΔH_f (0 K) in eV/atom: 0.0159
Space-group type: I-42d

GaPb3F | PBE-GGA | relaxed

The structure in POSCAR format:
```
GaPb3F
1.0
-3.2216 0.6511 3.9691
-0.6786 -5.1004 0.2859
3.9645 -0.3439 3.2743
Pb F Ga
3 1 1
Direct
0.0000 0.5000 0.0000 Pb
0.0000 0.0000 0.5000 Pb
0.5000 0.0000 0.0000 Pb
0.0000 0.0000 0.0000 F
0.5000 0.5000 0.5000 Ga
```

DOS(E_F) in states/eV per cell: 1.88
Space-group type: Pm-3m
Energy above the lowest structure with this stoichiometry in kJ/mol of formula units: 0

Values for calculated density, g/cm³, ordered as above
9.6, 7.4, 5.0, 10.4, 5.5, 7.6, 4.2, 6.4, 8.8, 5.0, 4.2, 6.0, 6.3, 7.9, 7.3, 9.5, 5.5, 7.5, 5.4, 8.6